Material: InTe2As
Method: DFT, PBE
State: relaxed

Cell lengths 7.837, 7.837, 7.837 Å; angles 31.68, 31.68, 31.68 degrees
Atoms (fractional coordinates):
As 0.505 0.505 0.505
Te 0.010 0.010 0.010
Te 0.234 0.234 0.234
In 0.750 0.750 0.750

Values from the calculation:
* crystal system: trigonal
* offset from the most stable computed form: 32 meV/atom

***

Material: Tb12Tl6Si
Method: DFT, PBE
State: relaxed

Cell lengths 8.311, 8.311, 8.311 Å; angles 93.44, 93.44, 93.44 degrees
Atoms (fractional coordinates):
Tb 0.799 0.563 0.453
Tb 0.453 0.799 0.563
Tb 0.563 0.453 0.799
Tb 0.201 0.437 0.547
Tb 0.547 0.201 0.437
Tb 0.437 0.547 0.201
Tb 0.980 0.101 0.322
Tb 0.899 0.678 0.020
Tb 0.678 0.020 0.899
Tb 0.020 0.899 0.678
Tb 0.101 0.322 0.980
Tb 0.322 0.980 0.101
Tl 0.668 0.865 0.266
Tl 0.734 0.332 0.135
Tl 0.135 0.734 0.332
Tl 0.332 0.135 0.734
Tl 0.266 0.668 0.865
Tl 0.865 0.266 0.668
Si 0.000 0.000 0.000

Values from the calculation:
* electronic total energy: -4.159 eV/atom
* crystal system: trigonal

***

Material: NaTiSeBr2
Method: DFT, PBE
State: relaxed

Cell lengths 5.122, 5.122, 5.419 Å; angles 90.00, 90.00, 90.00 degrees
Each line ends with the local moment (μB).
Atoms (fractional coordinates):
Na 0.000 0.000 0.000  0.00
Se 0.000 0.000 0.500  -0.49
Br 0.000 0.500 0.000  -0.12
Br 0.500 0.000 0.000  -0.12
Ti 0.500 0.500 0.500  1.78

Values from the calculation:
* crystal system: tetragonal
* offset from the most stable computed form: 1090 meV/atom

***

Material: PbC
Method: DFT, PBE
State: relaxed

Cell lengths 6.352, 6.352, 3.520 Å; angles 90.00, 90.00, 148.00 degrees
Atoms (fractional coordinates):
Pb 0.356 0.644 0.250
Pb 0.644 0.356 0.750
C 0.153 0.847 0.250
C 0.847 0.153 0.750

Values from the calculation:
* calculated formation energy: 3.9 eV/f.u.
* crystal system: orthorhombic
* offset from the most stable computed form: 1080 meV/atom

***

Material: Pr3Ho2Te5
Method: DFT, PBE
State: relaxed

Cell lengths 4.427, 7.713, 9.985 Å; angles 96.79, 77.19, 73.32 degrees
Atoms (fractional coordinates):
Pr 0.500 0.500 0.500
Pr 0.904 0.886 0.307
Pr 0.096 0.114 0.693
Ho 0.306 0.290 0.098
Ho 0.694 0.710 0.902
Te 0.000 0.000 0.000
Te 0.208 0.197 0.387
Te 0.792 0.803 0.613
Te 0.618 0.580 0.185
Te 0.382 0.420 0.815

Values from the calculation:
* electronic total energy: -5.287 eV/atom
* crystal system: monoclinic

***

Material: Rb2VReSb
Method: DFT, PBE
State: relaxed

Cell lengths 6.734, 5.146, 6.734 Å; angles 90.00, 90.00, 90.00 degrees
Each line ends with the local moment (μB).
Atoms (fractional coordinates):
Re 0.500 0.500 0.500  3.76
V 0.000 0.000 0.000  2.86
Rb 0.000 0.000 0.500  0.03
Rb 0.500 0.000 0.000  0.03
Sb 0.000 0.500 0.000  -0.12

Values from the calculation:
* electronic total energy: -3.876 eV/atom
* crystal system: tetragonal

***

Copy entry 5 word for word.
Material: Pr3Ho2Te5
Method: DFT, PBE
State: relaxed

Cell lengths 4.427, 7.713, 9.985 Å; angles 96.79, 77.19, 73.32 degrees
Atoms (fractional coordinates):
Pr 0.500 0.500 0.500
Pr 0.904 0.886 0.307
Pr 0.096 0.114 0.693
Ho 0.306 0.290 0.098
Ho 0.694 0.710 0.902
Te 0.000 0.000 0.000
Te 0.208 0.197 0.387
Te 0.792 0.803 0.613
Te 0.618 0.580 0.185
Te 0.382 0.420 0.815

Values from the calculation:
* electronic total energy: -5.287 eV/atom
* crystal system: monoclinic